Computed, not measured: crystalline Li2La2HoPb2 at its relaxed geometry at the PBE level of DFT.

```
Li2La2HoPb2
1.0
-4.705 0.732 0.959
-3.364 -1.198 -3.292
-3.265 -8.675 2.910
Li La Ho Pb
2 2 1 2
Cartesian
-5.485 -1.866 -0.882 Li
-5.850 -7.274 1.458 Li
-3.039 -5.333 1.463 La
-8.295 -3.807 -0.887 La
0.000 0.000 0.000 Ho
-8.534 -7.353 0.648 Pb
-2.800 -1.787 -0.071 Pb
```

Summary:
symmetry	No. 166
D(E_F)	0.7161	states/eV/atom
formation enthalpy at 0 K	-34.1	kJ/mol of atoms